Record 1
A plane-wave DFT calculation with PBE was carried out for an optimized crystal structure of Na3MnIn3I8.

Unit cell a=9.3007 b=9.3007 c=24.3120 alpha=90.00 beta=90.00 gamma=120.00
Space group R-3m (No. 166, hexagonal axes)
Asymmetric unit:
Na 0.0000 0.5000 0.0000 x9
Mn 0.0000 0.0000 0.0000 x3
In 0.0000 0.5000 0.5000 x9
I 0.0000 0.0000 0.2588 x6
I 0.0315 0.5158 0.7357 x18

Properties
* energy: -135.272 eV/cell



Record 2
A plane-wave DFT calculation with PBE was carried out for an optimized crystal structure of ScZn2Tc.

Unit cell a=3.4634 b=4.4491 c=8.4835 alpha=90.00 beta=90.00 gamma=90.00
Space group Cmm2 (No. 35)
Asymmetric unit:
Sc 0.0000 0.0000 0.0000 x2
Zn 0.0000 0.0000 0.4824 x2
Zn 0.0000 0.5000 0.7247 x2
Tc 0.0000 0.5000 0.2476 x2

Properties
* relative energy among the computed polymorphs: 0.969 eV/f.u.



Record 3
A plane-wave DFT calculation with PBE was carried out for an optimized crystal structure of LiScTc2.

Unit cell a=4.2808 b=4.5687 c=6.2918 alpha=90.00 beta=90.00 gamma=90.00
Space group Imm2 (No. 44)
Asymmetric unit:
Li 0.0000 0.0000 0.0000 x2
Sc 0.0000 0.5000 0.2425 x2
Tc 0.0000 0.0000 0.4783 x2
Tc 0.0000 0.5000 0.7559 x2

Properties
* relative energy among the computed polymorphs: 0.000 eV/f.u.



Record 4
A plane-wave DFT calculation with PBE was carried out for an optimized crystal structure of CaZn2W.

Unit cell a=2.9792 b=2.9792 c=28.7075 alpha=90.00 beta=90.00 gamma=120.00
Space group R-3m (No. 166, hexagonal axes)
Asymmetric unit:
Ca 0.0000 0.0000 0.0000 x3
Zn 0.0000 0.0000 0.2427 x6
W 0.0000 0.0000 0.5000 x3

Properties
* relative energy among the computed polymorphs: 0.873 eV/f.u.



Record 5
A plane-wave DFT calculation with PBE was carried out for an optimized crystal structure of Mg2TaAu.

Unit cell a=4.1173 b=4.1173 c=8.8072 alpha=90.00 beta=90.00 gamma=90.00
Space group I4/mmm (No. 139)
Asymmetric unit:
Mg 0.0000 0.5000 0.2500 x4
Ta 0.0000 0.0000 0.0000 x2
Au 0.0000 0.0000 0.5000 x2

Properties
* relative energy among the computed polymorphs: 1.375 eV/f.u.



Record 6
A plane-wave DFT calculation with PBE was carried out for an optimized crystal structure of SnH4.

Unit cell a=8.1971 b=6.3107 c=3.9558 alpha=90.00 beta=90.00 gamma=90.00
Space group Ama2 (No. 40)
Asymmetric unit:
Sn 0.0000 0.0000 0.0000 x4
H 0.0877 0.1858 0.6564 x8
H 0.2500 0.2680 0.1089 x4
H 0.2500 0.3861 0.0582 x4

Properties
* relative energy among the computed polymorphs: 1.388 eV/f.u.



Record 7
A plane-wave DFT calculation with PBE was carried out for an optimized crystal structure of Sm3MnPt8.

Unit cell a=5.4455 b=5.4455 c=26.6124 alpha=90.00 beta=90.00 gamma=120.00
Space group R3m (No. 160, hexagonal axes)
Asymmetric unit:
Sm 0.0000 0.0000 0.0000 x3
Sm 0.0000 0.0000 0.1290 x3
Sm 0.0000 0.0000 0.6128 x3
Mn 0.0000 0.0000 0.4852 x3
Pt 0.0000 0.0000 0.3109 x3
Pt 0.0000 0.0000 0.8114 x3
Pt 0.0004 0.5002 0.0613 x9
Pt 0.0018 0.5009 0.5606 x9

Properties
* energy: -247.179 eV/cell